First-principles (PBE) data for a relaxed structure of CaSn2Hg2, as listed in the Alexandria database.

Unit cell a=5.852 b=5.852 c=7.455 alpha=50.43 beta=50.43 gamma=81.26
Fractional positions:
Ca1 0.000 0.000 0.000
Sn1 0.195 0.805 0.500
Sn2 0.805 0.195 0.500
Hg1 0.500 0.500 0.212
Hg2 0.500 0.500 0.788

E_form in kJ/mol of formula units: -100
Crystal system: orthorhombic
Size of the total moment in μB/cell: 0.0
N(E_F) in states/eV per atom: 0.327
Calculated density in g/cm3: 8.22
Calculated volume in Å³/cell: 137
Symmetry: Immm, No. 71